Density functional theory data (PBE) for an optimized crystal structure of ZrAsN2F.

```
5
Lattice="3.996 0.000 0.000 0.000 3.996 0.000 0.000 0.000 3.820" Properties=species:S:1:pos:R:3 pbc="T T T"
As 0.000 0.000 0.000
N 0.000 1.998 0.000
N 1.998 0.000 0.000
Zr 1.998 1.998 1.910
F 0.000 0.000 1.910
```

## Properties
The volume is 61.0 Å³/f.u. The space group is P4/mmm (123). The energy relative to the elements, uncorrected comes out at 3 kJ per mole of atoms. As for the total energy: -6.31 eV/atom. As for the relative energy among the computed polymorphs: 301 meV per atom.



Density functional theory data (PBE) for an optimized crystal structure of ZrAsN2F.

```
5
Lattice="-1.503 1.842 -2.849 -3.580 -3.784 -0.557 -2.253 1.787 2.344" Properties=species:S:1:pos:R:3 pbc="T T T"
As 0.000 0.000 0.000
N -1.127 0.893 1.172
N -0.752 0.921 -1.424
Zr -1.790 -1.892 -0.279
F -3.668 -0.078 -0.531
```

## Properties
The volume is 72.1 Å³/f.u. The space group is P4/mmm (123). The energy relative to the elements, uncorrected comes out at 51 kJ per mole of atoms. As for the total energy: -5.81 eV/atom. As for the relative energy among the computed polymorphs: 798 meV per atom.



Density functional theory data (PBE) for an optimized crystal structure of ZrAsN2F.

```
5
Lattice="-0.512 -4.226 0.364 1.778 0.119 3.883 -3.612 0.578 1.636" Properties=species:S:1:pos:R:3 pbc="T T T"
As -1.172 -1.764 2.942
N 0.889 0.060 1.942
N -0.256 -2.113 0.182
Zr 0.000 0.000 0.000
F -1.806 0.289 0.818
```

## Properties
The volume is 73.2 Å³/f.u. The space group is P4/mmm (123). The energy relative to the elements, uncorrected comes out at -26 kJ per mole of atoms. As for the total energy: -6.61 eV/atom. As for the relative energy among the computed polymorphs: 0 meV per atom.



Density functional theory data (PBE) for an optimized crystal structure of Na12As3F5.

```
80
Lattice="13.125 0.000 0.000 -4.375 12.374 0.000 -4.375 -6.187 10.716" Properties=species:S:1:pos:R:3 pbc="T T T"
As 7.656 3.867 1.340
As 7.656 8.507 1.340
As -1.094 5.414 6.698
As 1.094 -0.773 4.019
As 9.844 0.000 2.679
As 1.094 6.187 2.679
As 3.281 0.000 8.037
As -5.469 6.187 8.037
As 3.281 6.960 6.698
As 5.469 0.773 4.019
As -3.281 -2.320 9.377
As -3.281 2.320 9.377
F -1.094 3.094 2.679
F -2.187 6.187 0.000
F 0.000 0.000 0.000
F 3.281 2.320 1.340
F 4.375 -3.094 5.358
F 4.375 6.187 0.000
F -3.281 6.960 4.019
F 5.469 -3.867 9.377
F 5.469 5.414 4.019
F 1.094 -3.094 8.037
F 3.281 9.281 2.679
F 2.187 3.094 5.358
F 6.562 0.000 0.000
F -2.187 -3.094 5.358
F -1.094 0.773 6.698
F -1.094 10.054 1.340
F -4.375 3.094 5.358
F 7.656 -0.773 6.698
F 1.094 3.867 9.377
F 5.469 3.094 8.037
Na 8.622 1.347 0.257
Na 0.127 3.989 4.320
Na 9.862 2.868 3.159
Na 5.451 1.792 1.295
Na 1.604 4.512 7.301
Na 9.406 6.264 1.942
Na -1.112 7.263 4.454
Na -3.263 10.582 1.295
Na 0.583 7.863 7.301
Na 5.906 6.110 1.942
Na 6.690 3.544 4.063
Na 6.690 11.027 0.257
Na -3.792 5.485 5.615
Na 2.844 4.466 0.905
Na -4.502 8.830 4.063
Na 2.315 -2.198 6.396
Na -0.583 0.973 2.199
Na 2.844 7.831 1.038
Na 5.451 9.506 3.159
Na -0.656 4.543 1.038
Na -2.770 7.160 8.517
Na 3.299 5.111 4.454
Na 5.979 6.889 5.615
Na 5.031 -1.721 9.812
Na 1.076 1.076 6.263
Na -1.604 -0.702 5.101
Na -0.656 7.908 0.905
Na -1.076 -3.319 7.557
Na 7.145 -0.973 2.199
Na 5.031 1.644 9.678
Na 1.531 -1.644 9.678
Na 2.060 8.385 4.320
Na 4.958 5.214 8.517
Na 8.877 -2.643 6.653
Na 8.167 0.702 5.101
Na -2.315 -4.840 10.459
Na 1.531 1.721 9.812
Na 3.792 -1.676 3.416
Na -1.531 0.077 8.774
Na -2.315 2.643 6.653
Na 7.638 -4.395 9.422
Na 5.487 -1.076 6.263
Na -1.076 4.395 9.422
Na -5.031 -0.077 8.774
Na 2.770 1.676 3.416
Na -5.487 3.319 7.557
Na 4.248 2.198 6.396
Na -4.248 4.840 10.459
```

## Properties
The volume is 435.1 Å³/f.u. The space group is Ia-3d (230). The energy relative to the elements, uncorrected comes out at -138 kJ per mole of atoms. As for the total energy: -3.39 eV/atom.



Density functional theory data (PBE) for an optimized crystal structure of Na2AsF.

```
4
Lattice="0.000 3.456 3.456 3.456 0.000 3.456 3.456 3.456 0.000" Properties=species:S:1:pos:R:3 pbc="T T T"
Na 1.728 1.728 1.728
Na 5.184 5.184 5.184
As 3.456 3.456 3.456
F 0.000 0.000 0.000
```

## Properties
The volume is 82.5 Å³/f.u. The space group is Fm-3m (225). The energy relative to the elements, uncorrected comes out at -73 kJ per mole of atoms. As for the total energy: -3.05 eV/atom. As for the relative energy among the computed polymorphs: 385 meV per atom.



Density functional theory data (PBE) for an optimized crystal structure of NaAsF2.

```
4
Lattice="3.361 1.373 2.385 -0.360 3.615 2.383 -0.161 -0.262 4.333" Properties=species:S:1:pos:R:3 pbc="T T T"
Na 0.000 0.000 0.000
As 1.420 2.363 4.551
F 0.710 1.182 2.275
F 2.130 3.545 6.826
```

## Properties
The volume is 58.0 Å³/f.u. The space group is Fm-3m (225). The energy relative to the elements, uncorrected comes out at -103 kJ per mole of atoms. As for the total energy: -3.50 eV/atom. As for the relative energy among the computed polymorphs: 846 meV per atom.



Density functional theory data (PBE) for an optimized crystal structure of Na2AsF8.

```
11
Lattice="-0.639 3.606 2.970 -5.568 -2.261 -0.913 -0.027 -4.944 3.537" Properties=species:S:1:pos:R:3 pbc="T T T"
Na -4.017 -3.474 2.908
Na -2.218 -0.124 2.686
As 0.000 0.000 0.000
F -1.734 -4.507 3.811
F -0.767 -0.899 4.782
F -5.095 -5.561 2.992
F -1.140 1.963 2.603
F -5.468 -2.700 0.813
F -4.500 0.909 1.783
F -3.736 -0.955 4.077
F -2.499 -2.644 1.518
```

## Properties
The volume is 160.7 Å³/f.u. The space group is C2/m (12). The energy relative to the elements, uncorrected comes out at -210 kJ per mole of atoms. As for the total energy: -4.20 eV/atom.



Density functional theory data (PBE) for an optimized crystal structure of NaAs2F6.

```
18
Lattice="5.975 0.236 0.229 2.114 7.014 -0.885 2.114 -0.658 7.039" Properties=species:S:1:pos:R:3 pbc="T T T"
Na 3.608 0.415 6.049
Na 6.595 6.177 0.333
As 4.739 3.441 4.635
As 2.477 1.730 2.978
As 5.465 3.151 1.746
As 7.726 4.863 3.404
F 5.973 5.442 2.941
F 7.217 3.594 1.152
F 4.230 1.150 3.441
F 2.986 2.998 5.230
F 8.236 6.054 2.139
F 4.954 4.376 0.515
F 1.967 0.538 4.243
F 5.249 2.216 5.867
F 4.684 4.914 5.728
F 2.532 0.590 1.541
F 5.519 1.678 0.654
F 7.671 6.002 4.840
```

## Properties
The volume is 141.9 Å³/f.u. The space group is C2/c (15). The energy relative to the elements, uncorrected comes out at -194 kJ per mole of atoms. As for the total energy: -4.44 eV/atom.



Density functional theory data (PBE) for an optimized crystal structure of NaAsF3.

```
5
Lattice="4.408 0.000 0.000 0.000 4.408 0.000 0.000 0.000 4.408" Properties=species:S:1:pos:R:3 pbc="T T T"
Na 2.204 2.204 2.204
As 0.000 0.000 0.000
F 0.000 2.204 0.000
F 0.000 0.000 2.204
F 2.204 0.000 0.000
```

## Properties
The volume is 85.7 Å³/f.u. The space group is Pm-3m (221). The energy relative to the elements, uncorrected comes out at -164 kJ per mole of atoms. As for the total energy: -4.02 eV/atom. As for the relative energy among the computed polymorphs: 0 meV per atom.



Density functional theory data (PBE) for an optimized crystal structure of Na3AsF6.

```
20
Lattice="-5.302 1.630 -1.200 -1.080 -5.290 -2.411 -2.631 -2.804 7.329" Properties=species:S:1:pos:R:3 pbc="T T T"
Na -5.758 -6.267 2.668
Na -3.191 -1.830 -1.806
Na -3.255 -0.197 1.050
Na -1.377 -3.648 0.530
Na -1.315 -1.402 3.665
Na -7.636 -2.816 3.188
As -4.506 -3.232 1.859
As 0.000 0.000 0.000
F -6.397 -2.454 5.632
F -5.328 -1.652 2.934
F -4.508 -2.002 0.174
F -4.504 -4.461 3.544
F -3.685 -4.812 0.784
F -2.616 -4.009 -1.914
F -2.581 -2.601 2.232
F -1.444 -1.465 -0.313
F -2.783 -2.312 5.308
F -6.230 -4.152 -1.590
F -7.569 -4.999 4.031
F -6.432 -3.862 1.486
```

## Properties
The volume is 138.9 Å³/f.u. The space group is P2_1/c (14). The energy relative to the elements, uncorrected comes out at -241 kJ per mole of atoms. As for the total energy: -4.48 eV/atom. As for the relative energy among the computed polymorphs: 0 meV per atom.



Density functional theory data (PBE) for an optimized crystal structure of Na2As2F7.

```
22
Lattice="6.490 0.010 0.000 -0.913 5.782 0.000 0.000 0.000 9.314" Properties=species:S:1:pos:R:3 pbc="T T T"
Na 3.196 4.753 1.432
Na 1.924 3.929 6.089
Na 2.381 1.038 7.882
Na 3.653 1.863 3.225
As 5.248 3.834 7.610
As 0.330 1.957 1.704
As 5.704 0.944 6.361
As -0.127 4.847 2.953
F 0.000 0.000 4.657
F -0.456 2.891 0.000
F 1.022 0.852 0.438
F 5.012 2.049 5.095
F 4.555 4.939 8.876
F 0.565 3.743 4.219
F 0.974 1.840 6.290
F 0.517 4.731 7.681
F 5.060 1.060 1.633
F 4.603 3.951 3.024
F 3.867 0.140 6.323
F 3.410 3.031 7.648
F 2.167 2.760 1.666
F 1.710 5.651 2.991
```

## Properties
The volume is 174.8 Å³/f.u. The space group is P2_1/c (14). The energy relative to the elements, uncorrected comes out at -206 kJ per mole of atoms. As for the total energy: -4.42 eV/atom.



Density functional theory data (PBE) for an optimized crystal structure of Na2AsF4.

```
7
Lattice="-2.500 -4.286 -3.131 4.822 -3.280 0.639 -2.344 2.555 3.871" Properties=species:S:1:pos:R:3 pbc="T T T"
Na -1.842 -2.757 -0.253
Na 1.820 -2.254 1.632
As 1.161 -3.783 -1.246
F -0.635 -4.030 -2.169
F 2.955 -3.537 -0.320
F -0.613 -3.082 2.013
F -1.752 0.628 3.235
```

## Properties
The volume is 107.8 Å³/f.u. The space group is I4/mmm (139). The energy relative to the elements, uncorrected comes out at -205 kJ per mole of atoms. As for the total energy: -4.24 eV/atom.